This record from the Alexandria database describes an optimized crystal structure of Al5Zn2Ag2. The functional is PBE.

```
Al5Zn2Ag2
1.0
3.751 0.000 -1.192
-1.413 7.735 -4.448
0.447 -3.642 7.908
Ag Al Zn
2 5 2
Direct
0.141 0.797 0.282
0.859 0.203 0.718
0.896 0.549 0.791
0.104 0.451 0.209
0.000 0.000 0.000
0.389 0.034 0.778
0.611 0.966 0.222
0.661 0.346 0.323
0.339 0.654 0.677
```

Crystal system: monoclinic
Calculated formation energy (eV per atom): 0.071
Size of the total moment (μB/atom): 0.000

This record from the Alexandria database describes an optimized crystal structure of ReRuBr. The functional is PBE.

```
ReRuBr
1.0
-1.236 4.083 -0.069
-4.109 0.995 0.571
-1.251 1.911 3.603
Re Ru Br
1 1 1
Direct
0.750 0.750 0.750
0.000 0.000 0.000
0.500 0.500 0.500
```

Crystal system: cubic
Energy above the most stable polymorph in this dataset (eV per formula unit): 1.43
Size of the total moment (μB/atom): 0.000
Formation energy without anion corrections (eV per formula unit): 3.34

This record from the Alexandria database describes an optimized crystal structure of DyTm12Co6. The functional is PBE.

```
DyTm12Co6
1.0
-6.319 -5.173 1.687
5.109 -3.566 -5.542
4.208 1.628 7.013
Tm Co Dy
12 6 1
Direct
0.308 0.115 0.807
0.885 0.193 0.692
0.193 0.692 0.885
0.308 0.502 0.193
0.807 0.692 0.498
0.692 0.498 0.807
0.193 0.308 0.502
0.807 0.308 0.115
0.502 0.193 0.308
0.498 0.807 0.692
0.115 0.807 0.308
0.692 0.885 0.193
0.500 0.114 0.614
0.614 0.500 0.114
0.500 0.886 0.386
0.386 0.500 0.886
0.114 0.614 0.500
0.886 0.386 0.500
0.000 0.000 0.000
```

Crystal system: cubic
Calculated formation energy (eV per atom): -0.163
Size of the total moment (μB/atom): 0.000

This record from the Alexandria database describes an optimized crystal structure of MgTa2Cl. The functional is PBE.

```
MgTa2Cl
1.0
4.933 0.000 0.000
0.000 4.933 0.000
0.000 0.000 2.935
Ta Cl Mg
2 1 1
Direct
0.500 0.500 0.000
0.000 0.000 0.000
0.500 0.000 0.500
0.000 0.500 0.500
```

Crystal system: tetragonal
Energy above the most stable polymorph in this dataset (eV per formula unit): 3.34
Size of the total moment (μB/atom): 0.000
Formation energy without anion corrections (eV per formula unit): 3.10

This record from the Alexandria database describes an optimized crystal structure of Ti4SnO. The functional is PBE.

```
Ti4SnO
1.0
-0.470 4.282 -3.009
-4.002 -2.343 -2.712
-1.556 2.023 7.714
Ti Sn O
8 2 2
Direct
0.886 0.889 0.580
0.306 0.611 0.420
0.489 0.891 0.219
0.511 0.109 0.781
0.694 0.389 0.580
0.730 0.391 0.219
0.114 0.111 0.420
0.270 0.609 0.781
0.149 0.250 0.000
0.851 0.750 0.000
0.500 0.000 0.500
0.000 0.500 0.500
```

Crystal system: monoclinic
Energy above the most stable polymorph in this dataset (eV per formula unit): 0.29
Size of the total moment (μB/atom): 0.000
Formation energy without anion corrections (eV per formula unit): -5.63

This record from the Alexandria database describes an optimized crystal structure of TlFeAs. The functional is PBE.

```
TlFeAs
1.0
4.925 0.000 0.000
0.000 3.711 0.000
0.000 0.000 13.917
Fe Tl As
4 4 4
Direct
0.750 0.000 0.571
0.250 0.500 0.071
0.250 0.000 0.571
0.750 0.500 0.071
0.500 0.500 0.256
0.000 0.000 0.385
0.500 0.000 0.756
0.000 0.500 0.885
0.000 0.500 0.637
0.500 0.500 0.504
0.500 0.000 0.004
0.000 0.000 0.137
```

Crystal system: orthorhombic
Calculated formation energy (eV per atom): 0.082
Energy above the most stable polymorph in this dataset (eV per formula unit): 0.39
Size of the total moment (μB/atom): 0.547

This record from the Alexandria database describes an optimized crystal structure of Tb2Sm6Y3Ho. The functional is PBE.

```
Tb2Sm6Y3Ho
1.0
6.233 0.000 0.009
-3.115 5.399 0.009
-1.051 -1.820 11.675
Sm Y Ho Tb
6 3 1 2
Direct
0.083 0.417 0.249
0.917 0.583 0.751
0.250 0.250 0.751
0.583 0.917 0.751
0.417 0.083 0.249
0.750 0.750 0.249
0.500 0.500 0.500
0.167 0.833 0.500
0.833 0.167 0.500
0.000 0.000 0.000
0.333 0.667 0.000
0.667 0.333 0.000
```

Crystal system: monoclinic
Calculated formation energy (eV per atom): 0.013
Size of the total moment (μB/atom): 0.000

This record from the Alexandria database describes an optimized crystal structure of HfTa2AgSn. The functional is PBE.

```
HfTa2AgSn
1.0
5.040 0.000 0.000
0.000 5.181 0.000
0.000 0.000 5.040
Sn Ta Hf Ag
1 2 1 1
Direct
0.000 0.000 0.000
0.500 0.000 0.000
0.000 0.000 0.500
0.000 0.500 0.000
0.500 0.500 0.500
```

Crystal system: tetragonal
Calculated formation energy (eV per atom): 1.736
Size of the total moment (μB/atom): 0.156

This record from the Alexandria database describes an optimized crystal structure of Y4Rh2Pb. The functional is PBE.

```
Y4Rh2Pb
1.0
7.050 -0.587 -0.148
-1.105 6.865 0.143
-2.827 -3.271 7.449
Y Rh Pb
8 4 2
Direct
0.870 0.646 0.664
0.018 0.233 0.409
0.418 0.502 0.268
0.456 0.732 0.836
0.298 0.195 0.823
0.860 0.575 0.091
0.725 0.122 0.677
0.401 0.984 0.232
0.641 0.203 0.101
0.468 0.349 0.588
0.130 0.511 0.912
0.790 0.852 0.399
0.969 0.055 0.014
0.205 0.790 0.486
```

Crystal system: monoclinic
Calculated formation energy (eV per atom): -0.630
Size of the total moment (μB/atom): 0.000

This record from the Alexandria database describes an optimized crystal structure of Pr6Tl5Ag. The functional is PBE.

```
Pr6Tl5Ag
1.0
-5.263 7.366 3.949
-5.683 -3.016 2.194
-0.277 -2.503 6.371
Pr Ag Tl
6 1 5
Direct
0.768 0.062 0.330
0.728 0.772 0.000
0.232 0.938 0.670
0.232 0.608 0.330
0.768 0.392 0.670
0.272 0.228 0.000
0.000 0.000 0.000
0.500 0.195 0.611
0.500 0.805 0.389
0.500 0.500 0.000
0.000 0.638 0.724
0.000 0.362 0.276
```

Crystal system: monoclinic
Calculated formation energy (eV per atom): -0.221
Energy above the most stable polymorph in this dataset (eV per formula unit): 1.66
Size of the total moment (μB/atom): 0.000

This record from the Alexandria database describes an optimized crystal structure of LaTh2Fe. The functional is PBE.

```
LaTh2Fe
1.0
3.536 0.000 0.000
0.000 3.536 0.000
0.000 0.000 8.687
Fe La Th
1 1 2
Direct
0.500 0.500 0.000
0.500 0.500 0.500
0.000 0.000 0.805
0.000 0.000 0.195
```

Crystal system: tetragonal
Calculated formation energy (eV per atom): 0.097
Energy above the most stable polymorph in this dataset (eV per formula unit): 0.57
Size of the total moment (μB/atom): 0.419

This record from the Alexandria database describes an optimized crystal structure of Pr12BiPt6. The functional is PBE.

```
Pr12BiPt6
1.0
-0.891 3.286 -8.426
8.817 -0.468 2.152
-3.665 -8.306 0.415
Pt Pr Bi
6 12 1
Direct
0.500 0.866 0.366
0.500 0.134 0.634
0.366 0.500 0.866
0.634 0.500 0.134
0.866 0.366 0.500
0.134 0.634 0.500
0.874 0.181 0.693
0.512 0.819 0.693
0.307 0.126 0.819
0.488 0.181 0.307
0.307 0.488 0.181
0.181 0.693 0.874
0.126 0.819 0.307
0.693 0.874 0.181
0.819 0.307 0.126
0.819 0.693 0.512
0.693 0.512 0.819
0.181 0.307 0.488
0.000 0.000 0.000
```

Crystal system: cubic
Calculated formation energy (eV per atom): -0.776
Size of the total moment (μB/atom): 0.000

Repeat the first record exactly.
This record from the Alexandria database describes an optimized crystal structure of Al5Zn2Ag2. The functional is PBE.

```
Al5Zn2Ag2
1.0
3.751 0.000 -1.192
-1.413 7.735 -4.448
0.447 -3.642 7.908
Ag Al Zn
2 5 2
Direct
0.141 0.797 0.282
0.859 0.203 0.718
0.896 0.549 0.791
0.104 0.451 0.209
0.000 0.000 0.000
0.389 0.034 0.778
0.611 0.966 0.222
0.661 0.346 0.323
0.339 0.654 0.677
```

Crystal system: monoclinic
Calculated formation energy (eV per atom): 0.071
Size of the total moment (μB/atom): 0.000

> What is the size of the total moment in the fifth record?

0.000 μB/atom